# LiGdZnSi

A relaxed LiGdZnSi crystal (PBE-GGA, the Alexandria database).

abc: 4.7802 4.7802 4.7802
angles: 60.00 60.00 60.00
Each line ends with the local moment (μB).
Sites, in units of the cell vectors:
Zn  0.7500  0.7500  0.7500  0.00
Gd  0.5000  0.5000  0.5000  6.99
Si  0.2500  0.2500  0.2500  -0.03
Li  0.0000  0.0000  0.0000  0.00

M_tot: 7.0 Bohr magnetons per cell
mass density: 5.5 g cm⁻³
energy relative to the elements, uncorrected: -354 meV/atom